# 1
Below is a geometry-optimized ZnCu2Te structure, with properties calculated at the PBE-GGA level.

E_form (uncorrected) = 0.19 eV/atom
ΔE to the lowest computed polymorph = 107 meV per atom

a b c (Å): 4.9209 4.9519 5.5520
angles (deg): 90.00 90.00 90.00
With the nearest neighbours (Å) after each atom.
Space group Cmmm (No. 65)
Asymmetric unit:
Zn  0.0000  0.0000  0.0000 x2  8 Cu 2.76-2.77, 2 Te 2.78
Cu  0.0000  0.5000  0.2235 x4  1 Cu 2.48, 4 Zn 2.76-2.77
Te  0.0000  0.0000  0.5000 x2  2 Zn 2.78, 8 Cu 2.90-2.91

---

# 2
Below is a geometry-optimized NbV3Zn structure, with properties calculated at the PBE-GGA level.

ΔE to the lowest computed polymorph = 174 meV per atom
energy relative to the elements = 1.437 eV per atom

a b c (Å): 4.5914 4.5914 4.5914
angles (deg): 90.00 90.00 90.00
With the nearest neighbours (Å) after each atom.
Space group Pm-3m (No. 221)
Asymmetric unit:
Nb  0.0000  0.0000  0.0000 x1  6 V 2.30
V  0.0000  0.0000  0.5000 x3  2 Nb 2.30
Zn  0.5000  0.5000  0.5000 x1  12 V 3.25

---

# 3
Below is a geometry-optimized CaMg2SiIr structure, with properties calculated at the PBE-GGA level.

E_form (uncorrected) = -0.27 eV/atom

a b c (Å): 5.0324 5.0324 4.5997
angles (deg): 90.00 90.00 90.00
With the nearest neighbours (Å) after each atom.
Space group P4/mmm (No. 123)
Asymmetric unit:
Ca  0.0000  0.0000  0.0000 x1  8 Mg 3.41, 4 Si 3.56
Mg  0.0000  0.5000  0.5000 x2  2 Ir 2.52
Si  0.5000  0.5000  0.0000 x1  2 Ir 2.30
Ir  0.5000  0.5000  0.5000 x1  2 Si 2.30, 4 Mg 2.52

---

# 4
Below is a geometry-optimized K3Li2Tl9 structure, with properties calculated at the PBE-GGA level.

energy relative to the elements = -0.103 eV per atom

a b c (Å): 5.1161 11.7560 14.8913
angles (deg): 90.00 90.00 90.00
With the nearest neighbours (Å) after each atom.
Space group Immm (No. 71)
Asymmetric unit:
K  0.0000  0.0000  0.0000 x2  12 Tl 3.76-3.99
K  0.0000  0.0000  0.3074 x4  10 Tl 3.66-3.84, 2 Li 3.73
Li  0.0000  0.2030  0.5000 x4  8 Tl 3.15-3.50
Tl  0.0000  0.2795  0.1222 x8  4 Tl 3.12-3.20, 2 Li 3.15
Tl  0.0000  0.3584  0.3279 x8  4 Tl 3.12-3.33, 1 Li 3.15
Tl  0.0000  0.5000  0.0000 x2  4 Tl 3.17, 4 Li 3.50

---

# 5
Below is a geometry-optimized Dy2ScIn structure, with properties calculated at the PBE-GGA level.

ΔE to the lowest computed polymorph = 0 meV per atom
energy relative to the elements = -0.261 eV per atom

a b c (Å): 4.7448 4.7448 4.7232
angles (deg): 90.00 90.00 90.00
With the nearest neighbours (Å) after each atom.
Space group P4/mmm (No. 123)
Asymmetric unit:
Dy  0.0000  0.5000  0.0000 x2  4 In 3.35, 4 Sc 3.35, 4 Dy 3.36
Sc  0.0000  0.0000  0.5000 x1  8 Dy 3.35, 4 In 3.36
In  0.5000  0.5000  0.5000 x1  8 Dy 3.35, 4 Sc 3.36

---

# 6
Below is a geometry-optimized CaTm3Fe structure, with properties calculated at the PBE-GGA level.

ΔE to the lowest computed polymorph = 13 meV per atom
energy relative to the elements = 0.042 eV per atom

a b c (Å): 8.9567 3.6155 9.5525
angles (deg): 90.00 110.36 90.00
With the nearest neighbours (Å) after each atom.
Space group P2_1/m (No. 11)
Asymmetric unit:
Ca  0.1616  0.2500  0.4374 x2  4 Ca 3.62-3.94, 8 Tm 3.63-3.91
Tm  0.1591  0.7500  0.1063 x2  1 Fe 2.87
Tm  0.2157  0.2500  0.8324 x2  3 Fe 2.85-2.91
Tm  0.4992  0.2500  0.2717 x2  3 Fe 2.86-3.08
Fe  0.4399  0.7500  0.0264 x2  2 Fe 2.25

---

# 7
Below is a geometry-optimized VInCl4 structure, with properties calculated at the PBE-GGA level.

E_form (uncorrected) = -1.09 eV/atom

a b c (Å): 9.5148 13.5383 6.3905
angles (deg): 90.00 106.87 90.00
With the nearest neighbours (Å) after each atom.
Space group C2/c (No. 15)
Asymmetric unit:
V  0.0000  0.0663  0.2500 x4  6 Cl 2.34-2.44
In  0.0000  0.2620  0.7500 x4  6 Cl 2.98-3.23
Cl  0.1419  0.0606  0.6341 x8  2 V 2.43-2.44
Cl  0.1596  0.1878  0.1937 x8  1 V 2.34

---

# 8
Below is a geometry-optimized Zr2BeGa structure, with properties calculated at the PBE-GGA level.

energy relative to the elements = -0.070 eV per atom

a b c (Å): 3.3635 3.3635 23.0445
angles (deg): 90.00 90.00 120.00
With the nearest neighbours (Å) after each atom.
Space group R-3m (No. 166, hexagonal axes)
Asymmetric unit:
Zr  0.0000  0.0000  0.2411 x6  3 Be 2.59, 3 Ga 2.88
Be  0.0000  0.0000  0.5000 x3  6 Zr 2.59
Ga  0.0000  0.0000  0.0000 x3  6 Zr 2.88

---

# 9
Below is a geometry-optimized Nd2PO5 structure, with properties calculated at the PBE-GGA level.

E_form (uncorrected) = -2.80 eV/atom

a b c (Å): 4.2816 10.1570 10.5501
angles (deg): 90.23 90.04 90.04
With the nearest neighbours (Å) after each atom.
Space group P1 (No. 1)
Asymmetric unit:
Nd  0.0000  0.0000  0.0000 x1  4 O 2.29-2.54
Nd  0.0007  0.7744  0.4086 x1  4 O 2.39-2.62
Nd  0.0059  0.6272  0.9102 x1  4 O 2.34-2.61
Nd  0.5275  0.2682  0.8060 x1  4 O 2.32-2.60
Nd  0.5318  0.1212  0.3043 x1  4 O 2.39-2.63
Nd  0.5373  0.8986  0.7288 x1  4 O 2.25-2.50
Nd  0.5399  0.4974  0.2264 x1  4 O 2.25-2.50
Nd  0.9981  0.3969  0.4917 x1  4 O 2.26-2.50
P  0.1130  0.2967  0.0719 x1  4 O 1.54-1.57
P  0.1154  0.1058  0.5787 x1  4 O 1.54-1.58
P  0.4141  0.7846  0.1364 x1  4 O 1.54-1.57
P  0.4198  0.6048  0.6416 x1  4 O 1.54-1.57
O  0.0019  0.2133  0.6765 x1  1 P 1.58
O  0.0048  0.1927  0.1725 x1  1 P 1.57
O  0.0053  0.4413  0.0944 x1  1 P 1.56
O  0.0066  0.9616  0.6014 x1  1 P 1.56
O  0.0128  0.5509  0.3379 x1  3 Nd 2.26-2.40
O  0.0149  0.8460  0.8406 x1  3 Nd 2.29-2.42
O  0.0210  0.2414  0.9390 x1  1 P 1.56
O  0.0318  0.1585  0.4448 x1  1 P 1.55
O  0.0564  0.7802  0.1200 x1  1 P 1.54
O  0.0607  0.6028  0.6323 x1  1 P 1.54
O  0.4725  0.2985  0.0817 x1  1 P 1.54
O  0.4733  0.1063  0.5972 x1  1 P 1.54
O  0.5030  0.7368  0.2719 x1  1 P 1.56
O  0.5125  0.6577  0.7757 x1  1 P 1.56
O  0.5210  0.0537  0.8818 x1  3 Nd 2.25-2.46
O  0.5208  0.9276  0.1088 x1  1 P 1.55
O  0.5223  0.3437  0.3798 x1  3 Nd 2.25-2.41
O  0.5269  0.7109  0.5425 x1  1 P 1.57
O  0.5284  0.4606  0.6179 x1  1 P 1.56
O  0.5292  0.6763  0.0400 x1  1 P 1.57

---

# 10
Below is a geometry-optimized Ho3Sc4 structure, with properties calculated at the PBE-GGA level.

energy relative to the elements = 0.052 eV per atom

a b c (Å): 3.4081 4.6794 23.8242
angles (deg): 90.00 90.00 90.00
With the nearest neighbours (Å) after each atom.
Space group Immm (No. 71)
Asymmetric unit:
Ho  0.0000  0.0000  0.0000 x2  8 Sc 3.37, 4 Ho 3.41-3.43
Ho  0.0000  0.0000  0.1438 x4  9 Sc 3.33-3.37, 3 Ho 3.41-3.43
Sc  0.0000  0.0000  0.2836 x4  7 Sc 3.31-3.43, 5 Ho 3.33-3.37
Sc  0.0000  0.0000  0.4276 x4  8 Ho 3.36-3.37, 4 Sc 3.41-3.45

---

# 11
Below is a geometry-optimized LiBiSb2 structure, with properties calculated at the PBE-GGA level.

E_form (uncorrected) = -0.07 eV/atom

a b c (Å): 4.7473 4.7473 4.7823
angles (deg): 90.00 90.00 90.00
With the nearest neighbours (Å) after each atom.
Space group P4/mmm (No. 123)
Asymmetric unit:
Li  0.0000  0.0000  0.0000 x1  4 Bi 3.36, 8 Sb 3.37
Bi  0.5000  0.5000  0.0000 x1  4 Li 3.36, 8 Sb 3.37
Sb  0.0000  0.5000  0.5000 x2  4 Sb 3.36, 4 Li 3.37, 4 Bi 3.37

---

# 12
Below is a geometry-optimized NpSi2Au structure, with properties calculated at the PBE-GGA level.

E_form (uncorrected) = -0.22 eV/atom

a b c (Å): 13.4452 4.1524 10.7389
angles (deg): 90.00 90.00 90.00
With the nearest neighbours (Å) after each atom.
Space group Pnma (No. 62)
Asymmetric unit:
Np  0.0481  0.2500  0.2378 x4  9 Si 2.98-3.25, 1 Au 3.23
Np  0.1921  0.7500  0.9550 x4  10 Si 3.02-3.29, 3 Au 3.20-3.26
Si  0.0232  0.2500  0.9576 x4  3 Si 2.30-2.35
Si  0.1137  0.2500  0.7754 x4  2 Si 2.30-2.43, 1 Au 2.47
Si  0.1310  0.7500  0.4467 x4  1 Si 2.30, 3 Au 2.54-2.55
Si  0.2062  0.7500  0.2546 x4  2 Si 2.30-2.43, 2 Au 2.54
Au  0.0623  0.2500  0.5544 x4  4 Si 2.47-2.60
Au  0.2213  0.7500  0.6540 x4  3 Si 2.54

---

no.,N(E_F) (states/eV/f.u.),magnetic moment (μB/f.u.)
1,0.774,0.00
2,8.726,0.01
3,3.963,0.00
4,7.447,0.00
5,5.285,0.68
6,6.169,1.23
7,6.409,2.00
8,2.329,0.00
9,0.720,0.29
10,11.354,0.00
11,1.660,0.00
12,8.531,3.99